# MoAuSe2 GGA-PBE optimized geometry
data_MoAuSe2
_chemical_formula_sum 'Mo2 Au2 Se4'
_symmetry_space_group_name_H-M 'I 4/m m m'
_symmetry_Int_Tables_number 139
_symmetry_space_group_name_Hall '-I 4 2'
_cell_length_a 4.363
_cell_length_b 4.363
_cell_length_c 7.422
_cell_angle_alpha 90.00
_cell_angle_beta 90.00
_cell_angle_gamma 90.00
loop_
_atom_site_label
_atom_site_fract_x
_atom_site_fract_y
_atom_site_fract_z
Mo1 0.000 0.000 0.000
Au1 0.000 0.000 0.500
Se1 0.000 0.500 0.250
# ΔE to the lowest computed polymorph	553	meV/atom
# energy relative to the elements, uncorrected	0.382	eV/atom